[1]
The following is a PBE calculation of crystalline Ca4NdCd5 at its relaxed geometry, from Alexandria via LeMat-Bulk.

Unit cell a=3.8370 b=3.8370 c=19.2705 alpha=90.00 beta=90.00 gamma=90.00
Closest atoms and distances in Å follow each position.
Fractional positions:
Ca  0.0000  0.0000  0.1001  8 Cd 3.32-3.33
Ca  0.0000  0.0000  0.2989  8 Cd 3.32-3.33
Ca  0.0000  0.0000  0.7011  8 Cd 3.32-3.33
Ca  0.0000  0.0000  0.8999  8 Cd 3.32-3.33
Nd  0.0000  0.0000  0.5000  8 Cd 3.34
Cd  0.5000  0.5000  0.0000  8 Ca 3.33
Cd  0.5000  0.5000  0.1994  8 Ca 3.32
Cd  0.5000  0.5000  0.3994  4 Ca 3.33, 4 Nd 3.34
Cd  0.5000  0.5000  0.6006  4 Ca 3.33, 4 Nd 3.34
Cd  0.5000  0.5000  0.8006  8 Ca 3.32

## Properties
- volume (Å³/f.u.) = 283.71
- E_form (kJ/mol of atoms) = -33.8



[2]
The following is a PBE calculation of crystalline Mn3Fe6P5 at its relaxed geometry, from Alexandria via LeMat-Bulk.

Unit cell a=3.6068 b=11.1229 c=8.0397 alpha=90.00 beta=90.00 gamma=90.00
Closest atoms and distances in Å follow each position.
Fractional positions:
Mn  0.2500  0.0516  0.2410  6 Fe 2.44-2.64, 4 P 2.53-2.67
Mn  0.2500  0.4484  0.2410  6 Fe 2.44-2.64, 4 P 2.53-2.67
Mn  0.2500  0.7500  0.2585  6 P 2.63-2.67, 4 Fe 2.85-2.91
Mn  0.7500  0.2500  0.7415  6 P 2.63-2.67, 4 Fe 2.85-2.91
Mn  0.7500  0.5516  0.7590  6 Fe 2.44-2.64, 4 P 2.53-2.67
Mn  0.7500  0.9484  0.7590  6 Fe 2.44-2.64, 4 P 2.53-2.67
Fe  0.2500  0.0675  0.5837  4 P 2.16-2.20
Fe  0.2500  0.2500  0.0251  4 P 2.15-2.23
Fe  0.2500  0.2500  0.3701  6 P 2.38-2.41, 2 Mn 2.44, 2 Fe 2.66
Fe  0.2500  0.4325  0.5837  4 P 2.16-2.20
Fe  0.2500  0.5840  0.9883  4 P 2.21-2.25
Fe  0.2500  0.9160  0.9883  4 P 2.21-2.25
Fe  0.7500  0.0840  0.0117  4 P 2.21-2.25
Fe  0.7500  0.4160  0.0117  4 P 2.21-2.25
Fe  0.7500  0.5675  0.4163  4 P 2.16-2.20
Fe  0.7500  0.7500  0.6299  6 P 2.38-2.41, 2 Mn 2.44, 2 Fe 2.66
Fe  0.7500  0.7500  0.9749  4 P 2.15-2.23
Fe  0.7500  0.9325  0.4163  4 P 2.16-2.20
P  0.2500  0.0923  0.8528  5 Fe 2.18-2.24
P  0.2500  0.4077  0.8528  5 Fe 2.18-2.24
P  0.2500  0.6273  0.5378  5 Fe 2.16-2.38
P  0.2500  0.7500  0.8290  4 Fe 2.15-2.25
P  0.2500  0.8727  0.5378  5 Fe 2.16-2.38
P  0.7500  0.1273  0.4622  5 Fe 2.16-2.38
P  0.7500  0.2500  0.1710  4 Fe 2.15-2.25
P  0.7500  0.3727  0.4622  5 Fe 2.16-2.38
P  0.7500  0.5923  0.1472  5 Fe 2.18-2.24
P  0.7500  0.9077  0.1472  5 Fe 2.18-2.24

## Properties
- volume (Å³/f.u.) = 161.27
- E_form (kJ/mol of atoms) = -40.7



[3]
The following is a PBE calculation of crystalline PaTeAuO6 at its relaxed geometry, from Alexandria via LeMat-Bulk.

Unit cell a=5.6923 b=5.6923 c=9.9267 alpha=90.00 beta=90.00 gamma=120.00
Closest atoms and distances in Å follow each position.
Fractional positions:
Pa  0.3333  0.6667  0.2500  6 O 2.22
Pa  0.6667  0.3333  0.7500  6 O 2.22
Te  0.3333  0.6667  0.7500  6 O 1.97
Te  0.6667  0.3333  0.2500  6 O 1.97
Au  0.0000  0.0000  0.0000  6 O 2.55
Au  0.0000  0.0000  0.5000  6 O 2.55
O  0.0324  0.3893  0.6415  1 Te 1.97
O  0.0324  0.6432  0.8585  1 Te 1.97
O  0.3568  0.3893  0.8585  1 Te 1.97
O  0.3568  0.9676  0.6415  1 Te 1.97
O  0.3893  0.0324  0.1415  1 Te 1.97
O  0.3893  0.3568  0.3585  1 Te 1.97
O  0.6107  0.6432  0.6415  1 Te 1.97
O  0.6107  0.9676  0.8585  1 Te 1.97
O  0.6432  0.0324  0.3585  1 Te 1.97
O  0.6432  0.6107  0.1415  1 Te 1.97
O  0.9676  0.3568  0.1415  1 Te 1.97
O  0.9676  0.6107  0.3585  1 Te 1.97

## Properties
- volume (Å³/f.u.) = 139.28
- ΔE_f (raw) (eV/atom) = -1.543



[4]
The following is a PBE calculation of crystalline BeTlCu2 at its relaxed geometry, from Alexandria via LeMat-Bulk.

Unit cell a=4.3175 b=4.3175 c=4.3175 alpha=60.00 beta=60.00 gamma=60.00
Closest atoms and distances in Å follow each position.
Fractional positions:
Be  0.0000  0.0000  0.0000  4 Cu 2.64, 4 Tl 2.64
Tl  0.2500  0.2500  0.2500  4 Be 2.64, 4 Cu 2.64
Cu  0.5000  0.5000  0.5000  4 Cu 2.64, 4 Tl 2.64
Cu  0.7500  0.7500  0.7500  4 Be 2.64, 4 Cu 2.64

## Properties
- volume (Å³/f.u.) = 56.91
- polymorph energy (0 for the lowest one) (eV per formula unit) = 0.64
- E_form (kJ/mol of atoms) = 39.4



[5]
The following is a PBE calculation of crystalline U4SnPt15 at its relaxed geometry, from Alexandria via LeMat-Bulk.

Unit cell a=4.1439 b=4.1439 c=20.7226 alpha=90.00 beta=90.00 gamma=90.00
Closest atoms and distances in Å follow each position.
Fractional positions:
U  0.0000  0.0000  0.1010  12 Pt 2.93-2.95
U  0.0000  0.0000  0.3037  12 Pt 2.90-2.95
U  0.0000  0.0000  0.6963  12 Pt 2.90-2.95
U  0.0000  0.0000  0.8990  12 Pt 2.93-2.95
Sn  0.0000  0.0000  0.5000  12 Pt 2.90-2.93
Pt  0.0000  0.5000  0.0000  8 Pt 2.93-2.95, 4 U 2.94
Pt  0.0000  0.5000  0.2022  8 Pt 2.93-2.95, 4 U 2.95
Pt  0.0000  0.5000  0.4019  2 Sn 2.90, 8 Pt 2.90-2.93, 2 U 2.90
Pt  0.0000  0.5000  0.5981  2 Sn 2.90, 8 Pt 2.90-2.93, 2 U 2.90
Pt  0.0000  0.5000  0.7978  8 Pt 2.93-2.95, 4 U 2.95
Pt  0.5000  0.0000  0.0000  8 Pt 2.93-2.95, 4 U 2.94
Pt  0.5000  0.0000  0.2022  8 Pt 2.93-2.95, 4 U 2.95
Pt  0.5000  0.0000  0.4019  2 Sn 2.90, 8 Pt 2.90-2.93, 2 U 2.90
Pt  0.5000  0.0000  0.5981  2 Sn 2.90, 8 Pt 2.90-2.93, 2 U 2.90
Pt  0.5000  0.0000  0.7978  8 Pt 2.93-2.95, 4 U 2.95
Pt  0.5000  0.5000  0.1012  4 U 2.93, 8 Pt 2.95
Pt  0.5000  0.5000  0.3033  8 Pt 2.91-2.95, 4 U 2.93
Pt  0.5000  0.5000  0.5000  8 Pt 2.90, 4 Sn 2.93
Pt  0.5000  0.5000  0.6967  8 Pt 2.91-2.95, 4 U 2.93
Pt  0.5000  0.5000  0.8988  4 U 2.93, 8 Pt 2.95

## Properties
- volume (Å³/f.u.) = 355.85
- E_form (kJ/mol of atoms) = -62.3



[6]
The following is a PBE calculation of crystalline CsRbH2 at its relaxed geometry, from Alexandria via LeMat-Bulk.

Unit cell a=7.8127 b=7.8127 c=7.8127 alpha=31.59 beta=31.59 gamma=31.59
Closest atoms and distances in Å follow each position.
Fractional positions:
Cs  0.0000  0.0000  0.0000  6 H 3.12-3.16
Rb  0.1696  0.1696  0.1696  6 H 3.00-3.04
H  0.5805  0.5805  0.5805  3 Rb 3.00, 3 Cs 3.12
H  0.7559  0.7559  0.7559  3 Rb 3.04, 3 Cs 3.16

## Properties
- volume (Å³/f.u.) = 116.20
- polymorph energy (0 for the lowest one) (eV per formula unit) = 0.00



[7]
The following is a PBE calculation of crystalline MgZnPd3 at its relaxed geometry, from Alexandria via LeMat-Bulk.

Unit cell a=4.6252 b=4.6252 c=4.6252 alpha=90.00 beta=90.00 gamma=90.00
Closest atoms and distances in Å follow each position.
Fractional positions:
Mg  0.0000  0.0000  0.0000  12 Pd 3.27
Zn  0.5000  0.5000  0.5000  6 Pd 2.31
Pd  0.0000  0.5000  0.5000  2 Zn 2.31
Pd  0.5000  0.0000  0.5000  2 Zn 2.31
Pd  0.5000  0.5000  0.0000  2 Zn 2.31

## Properties
- volume (Å³/f.u.) = 98.95
- polymorph energy (0 for the lowest one) (eV per formula unit) = 2.73
- E_form (kJ/mol of atoms) = 6.6



[8]
The following is a PBE calculation of crystalline Rh2CSe at its relaxed geometry, from Alexandria via LeMat-Bulk.

Unit cell a=6.2716 b=6.2716 c=6.2716 alpha=133.09 beta=133.09 gamma=68.52
Closest atoms and distances in Å follow each position.
Fractional positions:
Rh  0.0407  0.6250  0.9157  2 C 1.98
Rh  0.3750  0.2907  0.4157  2 C 1.98
Rh  0.7093  0.1250  0.0843  2 C 1.98
Rh  0.8750  0.9593  0.5843  2 C 1.98
C  0.0000  0.0000  0.0000  4 Rh 1.98
C  0.7500  0.2500  0.5000  4 Rh 1.98
Se  0.2500  0.7500  0.5000  4 Rh 2.45
Se  0.5000  0.5000  0.0000  4 Rh 2.45

## Properties
- volume (Å³/f.u.) = 64.61
- polymorph energy (0 for the lowest one) (eV per formula unit) = 0.00
- ΔE_f (raw) (eV/atom) = 0.188



[9]
The following is a PBE calculation of crystalline AlCu3 at its relaxed geometry, from Alexandria via LeMat-Bulk.

Unit cell a=4.6570 b=4.6570 c=4.2211 alpha=108.88 beta=108.88 gamma=35.66
Closest atoms and distances in Å follow each position.
Fractional positions:
Al  0.0000  0.0000  0.0000  10 Cu 2.55-2.76, 2 Al 2.85
Cu  0.2490  0.2490  0.7484  7 Cu 2.54-2.76, 3 Al 2.55-2.76
Cu  0.5000  0.5000  0.5000  6 Cu 2.54-2.76, 4 Al 2.55
Cu  0.7510  0.7510  0.2516  7 Cu 2.54-2.76, 3 Al 2.55-2.76

## Properties
- volume (Å³/f.u.) = 50.19
- E_form (kJ/mol of atoms) = -15.6